(1)
# La6Sb2PSe3

Crystalline La6Sb2PSe3 at its relaxed geometry (PBE, Alexandria via LeMat-Bulk).

```
La6Sb2PSe3
1.0
9.6262 -2.2080 0.0000
9.6262 2.2080 0.0000
-1.9786 0.0000 8.6282
La Sb P Se
6 2 1 3
direct
0.0026 0.0026 0.2678
0.3373 0.3373 0.9101
0.3402 0.3402 0.4277
0.6598 0.6598 0.5723
0.6627 0.6627 0.0899
0.9974 0.9974 0.7322
0.1667 0.1667 0.8338
0.8333 0.8333 0.1662
0.5000 0.5000 0.5000
0.1688 0.1688 0.3349
0.5000 0.5000 0.0000
0.8312 0.8312 0.6651
```

Calculated values
E_tot ... -6.17 eV/atom
N(E_F) ... 5.31 states/eV per cell
Space-group type ... C2/m (12)
Total magnetization ... 0.000 μB per atom

=====

(2)
# La4Sb2PSe

Crystalline La4Sb2PSe at its relaxed geometry (PBE, Alexandria via LeMat-Bulk).

```
La4Sb2PSe
1.0
7.7247 0.0000 0.0000
0.0000 4.4566 0.0000
-2.5608 0.0000 7.2978
La Sb P Se
4 2 1 1
direct
0.2377 0.0000 0.2323
0.2470 0.5000 0.7635
0.7530 0.5000 0.2365
0.7623 0.0000 0.7677
0.0000 0.0000 0.5000
0.5000 0.5000 0.5000
0.0000 0.5000 0.0000
0.5000 0.0000 0.0000
```

Calculated values
E_tot ... -6.15 eV/atom
N(E_F) ... 2.16 states/eV per cell
Space-group type ... P2/m (10)
Total magnetization ... 0.000 μB per atom

=====

(3)
# SrLaSbP2

Crystalline SrLaSbP2 at its relaxed geometry (PBE, Alexandria via LeMat-Bulk).

```
SrLaSbP2
1.0
5.4085 0.0000 0.0000
0.0000 5.4085 0.0000
0.0000 0.0000 5.7665
Sr La Sb P
1 1 1 2
direct
0.0000 0.0000 0.0000
0.5000 0.5000 0.0000
0.5000 0.5000 0.5000
0.0000 0.5000 0.5000
0.5000 0.0000 0.5000
```

Calculated values
E_tot ... -4.01 eV/atom
N(E_F) ... 5.72 states/eV per cell
Space-group type ... P4/mmm (123)
Total magnetization ... 0.000 μB per atom

=====

(4)
# Sr3LaSb2P

Crystalline Sr3LaSb2P at its relaxed geometry (PBE, Alexandria via LeMat-Bulk).

```
Sr3LaSb2P
1.0
-2.7640 2.7913 8.5876
2.7640 -2.7913 8.5876
2.7640 2.7913 -8.5876
Sr La Sb P
3 1 2 1
direct
0.0000 0.0000 0.0000
0.1770 0.6770 0.5000
0.8230 0.3230 0.5000
0.5000 0.5000 0.0000
0.3696 0.8696 0.5000
0.6304 0.1304 0.5000
0.0000 0.5000 0.5000
```

Calculated values
E_tot ... -4.41 eV/atom
N(E_F) ... 0.04 states/eV per cell
Space-group type ... Immm (71)
Total magnetization ... 0.000 μB per atom

=====

(5)
# LaSb2TeP

Crystalline LaSb2TeP at its relaxed geometry (PBE, Alexandria via LeMat-Bulk).

```
LaSb2TeP
1.0
6.1867 0.0000 0.0000
0.0000 6.1867 0.0000
0.0000 0.0000 6.0596
La Sb Te P
1 2 1 1
direct
0.0000 0.0000 0.0000
0.0000 0.5000 0.0000
0.5000 0.0000 0.0000
0.0000 0.0000 0.5000
0.5000 0.5000 0.5000
```

Calculated values
E_tot ... -3.49 eV/atom
N(E_F) ... 5.42 states/eV per cell
Space-group type ... P4/mmm (123)
Total magnetization ... 0.331 μB per atom

=====

(6)
# LaSbTe2P

Crystalline LaSbTe2P at its relaxed geometry (PBE, Alexandria via LeMat-Bulk).

```
LaSbTe2P
1.0
6.1144 0.0000 0.0000
0.0000 6.1144 0.0000
0.0000 0.0000 6.3871
La Sb Te P
1 1 2 1
direct
0.0000 0.0000 0.0000
0.0000 0.0000 0.5000
0.0000 0.5000 0.0000
0.5000 0.0000 0.0000
0.5000 0.5000 0.5000
```

Calculated values
E_tot ... -3.51 eV/atom
N(E_F) ... 7.30 states/eV per cell
Space-group type ... P4/mmm (123)
Total magnetization ... 0.231 μB per atom

=====

(7)
# LaSbTe2P

Crystalline LaSbTe2P at its relaxed geometry (PBE, Alexandria via LeMat-Bulk).

```
LaSbTe2P
1.0
5.6984 0.0000 0.0000
0.0000 5.6984 0.0000
0.0000 0.0000 5.0494
La Sb Te P
1 1 2 1
direct
0.0000 0.0000 0.0000
0.5000 0.5000 0.5000
0.0000 0.5000 0.5000
0.5000 0.0000 0.5000
0.5000 0.5000 0.0000
```

Calculated values
E_tot ... -4.26 eV/atom
N(E_F) ... 3.74 states/eV per cell
Space-group type ... P4/mmm (123)
Total magnetization ... 0.000 μB per atom

=====

(8)
# LaSb2TeP

Crystalline LaSb2TeP at its relaxed geometry (PBE, Alexandria via LeMat-Bulk).

```
LaSb2TeP
1.0
5.2139 0.0000 0.0000
0.0000 5.2139 0.0000
0.0000 0.0000 5.3752
La Sb Te P
1 2 1 1
direct
0.0000 0.0000 0.0000
0.0000 0.5000 0.5000
0.5000 0.0000 0.5000
0.5000 0.5000 0.0000
0.5000 0.5000 0.5000
```

Calculated values
E_tot ... -4.53 eV/atom
N(E_F) ... 4.12 states/eV per cell
Space-group type ... P4/mmm (123)
Total magnetization ... 0.000 μB per atom